[1]
{
  "formula": "ScCoMo2",
  "functional": "GGA-PBE",
  "state": "relaxed",
  "ef_mev_per_atom": 281,
  "total_magnetization_mub_per_atom": 0.000,
  "polymorph_energy_kj_per_mol_fu": 102.2,
  "space_group": "Cmmm",
  "dos_ef_per_ev_fu": 4.3,
  "cell": [[2.567, -4.486, 0.000], [2.567, 4.486, 0.000], [0.000, 0.000, 2.725]],
  "species": ["Sc", "Co", "Mo", "Mo"],
  "frac_coords": [[0.000, 0.000, 0.000], [0.500, 0.500, 0.000], [0.000, 0.500, 0.500], [0.500, 0.000, 0.500]]
}

[2]
{
  "formula": "TiSbTe2N",
  "functional": "GGA-PBE",
  "state": "relaxed",
  "e_form_raw_ev_per_atom": 0.58,
  "total_magnetization_mub_per_atom": 0.000,
  "polymorph_energy_kj_per_mol_fu": 287.0,
  "space_group": "P4/mmm",
  "dos_ef_per_ev_fu": 6.0,
  "cell": [[4.710, 0.000, 0.000], [0.000, 4.710, 0.000], [0.000, 0.000, 4.707]],
  "species": ["Ti", "Sb", "Te", "Te", "N"],
  "frac_coords": [[0.000, 0.000, 0.000], [0.500, 0.500, 0.000], [0.000, 0.500, 0.500], [0.500, 0.000, 0.500], [0.500, 0.500, 0.500]]
}

[3]
{
  "formula": "MgTi2Zn4",
  "functional": "GGA-PBE",
  "state": "relaxed",
  "ef_mev_per_atom": -22,
  "total_magnetization_mub_per_atom": 0.000,
  "space_group": "I4/mmm",
  "dos_ef_per_ev_fu": 5.0,
  "cell": [[-1.937, 1.937, 8.221], [1.937, -1.937, 8.221], [1.937, 1.937, -8.221]],
  "species": ["Mg", "Ti", "Ti", "Zn", "Zn", "Zn", "Zn"],
  "frac_coords": [[0.000, 0.000, 0.000], [0.248, 0.248, 0.000], [0.752, 0.752, 0.000], [0.128, 0.628, 0.500], [0.372, 0.872, 0.500], [0.628, 0.128, 0.500], [0.872, 0.372, 0.500]]
}

[4]
{
  "formula": "PrDy2Co2",
  "functional": "GGA-PBE",
  "state": "relaxed",
  "ef_mev_per_atom": -119,
  "total_magnetization_mub_per_atom": 0.157,
  "polymorph_energy_kj_per_mol_fu": 0.0,
  "space_group": "Cmmm",
  "dos_ef_per_ev_fu": 6.9,
  "cell": [[1.960, -7.426, 0.000], [1.960, 7.426, 0.000], [0.000, 0.000, 4.020]],
  "species": ["Pr", "Dy", "Dy", "Co", "Co"],
  "frac_coords": [[0.000, 0.000, 0.000], [0.348, 0.652, 0.500], [0.652, 0.348, 0.500], [0.211, 0.789, 0.000], [0.789, 0.211, 0.000]]
}

[5]
{
  "formula": "PrVSb",
  "functional": "GGA-PBE",
  "state": "relaxed",
  "e_form_raw_ev_per_atom": -0.28,
  "total_magnetization_mub_per_atom": 0.000,
  "space_group": "Fmmm",
  "dos_ef_per_ev_fu": 1.2,
  "cell": [[0.000, 3.369, 7.796], [3.098, 0.000, 7.796], [3.098, 3.369, 0.000]],
  "species": ["Pr", "Pr", "V", "V", "Sb", "Sb"],
  "frac_coords": [[0.130, 0.130, 0.870], [0.870, 0.870, 0.130], [0.361, 0.639, 0.361], [0.639, 0.361, 0.639], [0.334, 0.334, 0.666], [0.666, 0.666, 0.334]]
}

[6]
{
  "formula": "K3PuNp2Te6",
  "functional": "GGA-PBE",
  "state": "relaxed",
  "e_form_raw_ev_per_atom": -0.98,
  "total_magnetization_mub_per_atom": 1.083,
  "space_group": "C2/m",
  "dos_ef_per_ev_fu": 33.9,
  "cell": [[3.955, -6.850, 0.000], [3.955, 6.850, 0.000], [-2.637, 0.000, 8.192]],
  "species": ["K", "K", "K", "Pu", "Np", "Np", "Te", "Te", "Te", "Te", "Te", "Te"],
  "frac_coords": [[0.000, 0.000, 0.000], [0.334, 0.666, 0.000], [0.666, 0.334, 0.000], [0.500, 0.500, 0.500], [0.167, 0.833, 0.500], [0.833, 0.167, 0.500], [0.094, 0.430, 0.291], [0.234, 0.234, 0.709], [0.430, 0.094, 0.291], [0.570, 0.906, 0.709], [0.766, 0.766, 0.291], [0.906, 0.570, 0.709]]
}

[7]
{
  "formula": "BeTeW2",
  "functional": "GGA-PBE",
  "state": "relaxed",
  "e_form_raw_ev_per_atom": 0.87,
  "total_magnetization_mub_per_atom": 0.000,
  "polymorph_energy_kj_per_mol_fu": 216.7,
  "space_group": "P4/mmm",
  "dos_ef_per_ev_fu": 4.0,
  "cell": [[4.364, 0.000, 0.000], [0.000, 4.364, 0.000], [0.000, 0.000, 3.322]],
  "species": ["Be", "Te", "W", "W"],
  "frac_coords": [[0.000, 0.000, 0.000], [0.500, 0.500, 0.000], [0.000, 0.500, 0.500], [0.500, 0.000, 0.500]]
}

[8]
{
  "formula": "La2In3Hg6Pb",
  "functional": "GGA-PBE",
  "state": "relaxed",
  "ef_mev_per_atom": -11,
  "total_magnetization_mub_per_atom": 0.000,
  "space_group": "P4/mmm",
  "dos_ef_per_ev_fu": 9.0,
  "cell": [[4.617, 0.000, 0.000], [0.000, 4.617, 0.000], [0.000, 0.000, 19.304]],
  "species": ["La", "La", "In", "In", "In", "Hg", "Hg", "Hg", "Hg", "Hg", "Hg", "Pb"],
  "frac_coords": [[0.000, 0.000, 0.249], [0.000, 0.000, 0.751], [0.500, 0.500, 0.211], [0.500, 0.500, 0.500], [0.500, 0.500, 0.789], [0.000, 0.500, 0.113], [0.000, 0.500, 0.887], [0.500, 0.000, 0.113], [0.500, 0.000, 0.887], [0.500, 0.500, 0.356], [0.500, 0.500, 0.644], [0.000, 0.000, 0.000]]
}

[9]
{
  "formula": "PaCu2RuO6",
  "functional": "GGA-PBE",
  "state": "relaxed",
  "e_form_raw_ev_per_atom": -1.61,
  "total_magnetization_mub_per_atom": 0.266,
  "space_group": "R-3",
  "dos_ef_per_ev_fu": 5.5,
  "cell": [[2.663, 1.537, 4.969], [-2.663, 1.537, 4.969], [0.000, -3.075, 4.969]],
  "species": ["Pa", "Cu", "Cu", "Ru", "O", "O", "O", "O", "O", "O"],
  "frac_coords": [[0.000, 0.000, 0.000], [0.247, 0.247, 0.247], [0.753, 0.753, 0.753], [0.500, 0.500, 0.500], [0.129, 0.399, 0.735], [0.265, 0.871, 0.601], [0.399, 0.735, 0.129], [0.601, 0.265, 0.871], [0.735, 0.129, 0.399], [0.871, 0.601, 0.265]]
}

[10]
{
  "formula": "MgRe2F",
  "functional": "GGA-PBE",
  "state": "relaxed",
  "e_form_raw_ev_per_atom": 1.16,
  "total_magnetization_mub_per_atom": 0.000,
  "polymorph_energy_kj_per_mol_fu": 454.0,
  "space_group": "Fm-3m",
  "dos_ef_per_ev_fu": 9.2,
  "cell": [[0.000, 3.069, 3.069], [3.069, 0.000, 3.069], [3.069, 3.069, 0.000]],
  "species": ["Mg", "Re", "Re", "F"],
  "frac_coords": [[0.000, 0.000, 0.000], [0.250, 0.250, 0.250], [0.750, 0.750, 0.750], [0.500, 0.500, 0.500]]
}

[11]
{
  "formula": "MnV5Mo6",
  "functional": "GGA-PBE",
  "state": "relaxed",
  "ef_mev_per_atom": -114,
  "total_magnetization_mub_per_atom": 0.000,
  "space_group": "Immm",
  "dos_ef_per_ev_fu": 7.2,
  "cell": [[-2.161, 3.056, 6.506], [2.161, -3.056, 6.506], [2.161, 3.056, -6.506]],
  "species": ["Mn", "V", "V", "V", "V", "V", "Mo", "Mo", "Mo", "Mo", "Mo", "Mo"],
  "frac_coords": [[0.000, 0.000, 0.000], [0.166, 0.666, 0.500], [0.333, 0.333, 0.000], [0.500, 0.000, 0.500], [0.667, 0.667, 0.000], [0.834, 0.334, 0.500], [0.083, 0.835, 0.249], [0.248, 0.500, 0.748], [0.414, 0.165, 0.249], [0.586, 0.835, 0.751], [0.752, 0.500, 0.252], [0.917, 0.165, 0.751]]
}

[12]
{
  "formula": "LiAc4Sm3Se8",
  "functional": "GGA-PBE",
  "state": "relaxed",
  "e_form_raw_ev_per_atom": -1.80,
  "total_magnetization_mub_per_atom": 0.000,
  "space_group": "R-3m",
  "dos_ef_per_ev_fu": 9.9,
  "cell": [[4.313, 2.490, 7.015], [-4.313, 2.490, 7.015], [0.000, -4.980, 7.015]],
  "species": ["Li", "Ac", "Ac", "Ac", "Ac", "Sm", "Sm", "Sm", "Se", "Se", "Se", "Se", "Se", "Se", "Se", "Se"],
  "frac_coords": [[0.000, 0.000, 0.000], [0.000, 0.000, 0.500], [0.000, 0.500, 0.000], [0.500, 0.000, 0.000], [0.500, 0.500, 0.500], [0.000, 0.500, 0.500], [0.500, 0.000, 0.500], [0.500, 0.500, 0.000], [0.238, 0.238, 0.749], [0.238, 0.749, 0.238], [0.251, 0.762, 0.762], [0.256, 0.256, 0.256], [0.744, 0.744, 0.744], [0.749, 0.238, 0.238], [0.762, 0.251, 0.762], [0.762, 0.762, 0.251]]
}

[13]
{
  "formula": "Sc2InNiC",
  "functional": "GGA-PBE",
  "state": "relaxed",
  "ef_mev_per_atom": -384,
  "total_magnetization_mub_per_atom": 0.000,
  "space_group": "P4/mmm",
  "dos_ef_per_ev_fu": 4.3,
  "cell": [[4.566, 0.000, 0.000], [0.000, 4.566, 0.000], [0.000, 0.000, 3.902]],
  "species": ["Sc", "Sc", "In", "Ni", "C"],
  "frac_coords": [[0.000, 0.500, 0.000], [0.500, 0.000, 0.000], [0.000, 0.000, 0.500], [0.500, 0.500, 0.500], [0.500, 0.500, 0.000]]
}

[14]
{
  "formula": "NaCdSbTe2",
  "functional": "GGA-PBE",
  "state": "relaxed",
  "e_form_raw_ev_per_atom": 0.19,
  "total_magnetization_mub_per_atom": 0.000,
  "polymorph_energy_kj_per_mol_fu": 0.0,
  "space_group": "P4/mmm",
  "dos_ef_per_ev_fu": 3.6,
  "cell": [[5.814, 0.000, 0.000], [0.000, 5.814, 0.000], [0.000, 0.000, 5.448]],
  "species": ["Na", "Cd", "Sb", "Te", "Te"],
  "frac_coords": [[0.000, 0.000, 0.000], [0.500, 0.500, 0.500], [0.500, 0.500, 0.000], [0.000, 0.500, 0.500], [0.500, 0.000, 0.500]]
}

[15]
{
  "formula": "AlCoBi2",
  "functional": "GGA-PBE",
  "state": "relaxed",
  "ef_mev_per_atom": 466,
  "total_magnetization_mub_per_atom": 0.307,
  "space_group": "I-42d",
  "dos_ef_per_ev_fu": 5.2,
  "cell": [[-3.050, 3.050, 6.395], [3.050, -3.050, 6.395], [3.050, 3.050, -6.395]],
  "species": ["Al", "Al", "Co", "Co", "Bi", "Bi", "Bi", "Bi"],
  "frac_coords": [[0.000, 0.000, 0.000], [0.750, 0.250, 0.500], [0.250, 0.750, 0.500], [0.500, 0.500, 0.000], [0.166, 0.625, 0.041], [0.375, 0.416, 0.541], [0.584, 0.125, 0.959], [0.875, 0.834, 0.459]]
}

[16]
{
  "formula": "Cr2SbBr",
  "functional": "GGA-PBE",
  "state": "relaxed",
  "e_form_raw_ev_per_atom": 0.39,
  "total_magnetization_mub_per_atom": 1.993,
  "polymorph_energy_kj_per_mol_fu": 120.9,
  "space_group": "Immm",
  "dos_ef_per_ev_fu": 0.9,
  "cell": [[-2.174, 2.823, 3.554], [2.174, -2.823, 3.554], [2.174, 2.823, -3.554]],
  "species": ["Cr", "Cr", "Sb", "Br"],
  "frac_coords": [[0.239, 0.239, 0.000], [0.761, 0.761, 0.000], [0.500, 0.000, 0.500], [0.000, 0.500, 0.500]]
}

[17]
{
  "formula": "TmNi2Ge2Ir",
  "functional": "GGA-PBE",
  "state": "relaxed",
  "ef_mev_per_atom": 22,
  "total_magnetization_mub_per_atom": 0.000,
  "space_group": "P4/mmm",
  "dos_ef_per_ev_fu": 2.7,
  "cell": [[4.678, 0.000, 0.000], [0.000, 4.678, 0.000], [0.000, 0.000, 5.258]],
  "species": ["Tm", "Ni", "Ni", "Ge", "Ge", "Ir"],
  "frac_coords": [[0.000, 0.000, 0.000], [0.500, 0.500, 0.245], [0.500, 0.500, 0.755], [0.000, 0.500, 0.500], [0.500, 0.000, 0.500], [0.000, 0.000, 0.500]]
}

[18]
{
  "formula": "Na2Be3AgAu12",
  "functional": "GGA-PBE",
  "state": "relaxed",
  "ef_mev_per_atom": 18,
  "total_magnetization_mub_per_atom": 0.000,
  "space_group": "R-3m",
  "dos_ef_per_ev_fu": 4.7,
  "cell": [[4.246, 2.451, 5.734], [-4.246, 2.451, 5.734], [0.000, -4.903, 5.734]],
  "species": ["Na", "Na", "Be", "Be", "Be", "Ag", "Au", "Au", "Au", "Au", "Au", "Au", "Au", "Au", "Au", "Au", "Au", "Au"],
  "frac_coords": [[0.093, 0.093, 0.093], [0.907, 0.907, 0.907], [0.000, 0.500, 0.500], [0.500, 0.000, 0.500], [0.500, 0.500, 0.000], [0.500, 0.500, 0.500], [0.106, 0.643, 0.643], [0.157, 0.157, 0.602], [0.157, 0.602, 0.157], [0.357, 0.357, 0.894], [0.357, 0.894, 0.357], [0.398, 0.843, 0.843], [0.602, 0.157, 0.157], [0.643, 0.106, 0.643], [0.643, 0.643, 0.106], [0.843, 0.398, 0.843], [0.843, 0.843, 0.398], [0.894, 0.357, 0.357]]
}

[19]
{
  "formula": "La2Zn3InAu4",
  "functional": "GGA-PBE",
  "state": "relaxed",
  "ef_mev_per_atom": -561,
  "total_magnetization_mub_per_atom": 0.000,
  "space_group": "P-4m2",
  "dos_ef_per_ev_fu": 3.9,
  "cell": [[4.332, 0.000, 0.000], [0.000, 4.332, 0.000], [0.000, 0.000, 11.721]],
  "species": ["La", "La", "Zn", "Zn", "Zn", "In", "Au", "Au", "Au", "Au"],
  "frac_coords": [[0.000, 0.500, 0.239], [0.500, 0.000, 0.761], [0.000, 0.500, 0.871], [0.500, 0.000, 0.129], [0.500, 0.500, 0.500], [0.000, 0.000, 0.500], [0.000, 0.000, 0.000], [0.000, 0.500, 0.652], [0.500, 0.000, 0.348], [0.500, 0.500, 0.000]]
}

[20]
{
  "formula": "ZnHg2Bi2",
  "functional": "GGA-PBE",
  "state": "relaxed",
  "ef_mev_per_atom": 274,
  "total_magnetization_mub_per_atom": 0.000,
  "polymorph_energy_kj_per_mol_fu": 49.8,
  "space_group": "P4/mbm",
  "dos_ef_per_ev_fu": 1.3,
  "cell": [[9.517, 0.000, 0.000], [0.000, 9.517, 0.000], [0.000, 0.000, 3.311]],
  "species": ["Zn", "Zn", "Hg", "Hg", "Hg", "Hg", "Bi", "Bi", "Bi", "Bi"],
  "frac_coords": [[0.000, 0.000, 0.000], [0.500, 0.500, 0.000], [0.171, 0.329, 0.000], [0.329, 0.829, 0.000], [0.671, 0.171, 0.000], [0.829, 0.671, 0.000], [0.126, 0.626, 0.500], [0.374, 0.126, 0.500], [0.626, 0.874, 0.500], [0.874, 0.374, 0.500]]
}

[21]
{
  "formula": "Pr6Ir2PdI3",
  "functional": "GGA-PBE",
  "state": "relaxed",
  "e_form_raw_ev_per_atom": -0.95,
  "total_magnetization_mub_per_atom": 0.000,
  "space_group": "C2/m",
  "dos_ef_per_ev_fu": 5.8,
  "cell": [[3.692, -6.393, 0.000], [3.692, 6.393, 0.000], [-2.461, 0.000, 8.190]],
  "species": ["Pr", "Pr", "Pr", "Pr", "Pr", "Pr", "Ir", "Ir", "Pd", "I", "I", "I"],
  "frac_coords": [[0.094, 0.438, 0.813], [0.218, 0.218, 0.186], [0.438, 0.094, 0.813], [0.562, 0.906, 0.187], [0.782, 0.782, 0.814], [0.906, 0.562, 0.187], [0.167, 0.833, 0.000], [0.833, 0.167, 0.000], [0.500, 0.500, 0.000], [0.000, 0.000, 0.500], [0.334, 0.666, 0.500], [0.666, 0.334, 0.500]]
}

[22]
{
  "formula": "Dy4PS2",
  "functional": "GGA-PBE",
  "state": "relaxed",
  "e_form_raw_ev_per_atom": -1.55,
  "total_magnetization_mub_per_atom": 0.000,
  "space_group": "P-1",
  "dos_ef_per_ev_fu": 3.6,
  "cell": [[3.885, 0.000, 0.000], [0.000, 6.623, 0.000], [-1.933, -3.256, 6.534]],
  "species": ["Dy", "Dy", "Dy", "Dy", "P", "S", "S"],
  "frac_coords": [[0.123, 0.455, 0.246], [0.376, 0.036, 0.751], [0.624, 0.964, 0.249], [0.877, 0.545, 0.754], [0.000, 0.000, 0.000], [0.257, 0.261, 0.515], [0.743, 0.739, 0.485]]
}

[23]
{
  "formula": "RbN3F",
  "functional": "GGA-PBE",
  "state": "relaxed",
  "e_form_raw_ev_per_atom": 2.49,
  "total_magnetization_mub_per_atom": 1.337,
  "space_group": "Pm-3m",
  "dos_ef_per_ev_fu": 3.1,
  "cell": [[4.231, 0.000, 0.000], [0.000, 4.231, 0.000], [0.000, 0.000, 4.231]],
  "species": ["Rb", "N", "N", "N", "F"],
  "frac_coords": [[0.000, 0.000, 0.000], [0.000, 0.500, 0.500], [0.500, 0.000, 0.500], [0.500, 0.500, 0.000], [0.500, 0.500, 0.500]]
}

[24]
{
  "formula": "TbPm4Dy2Ho2",
  "functional": "GGA-PBE",
  "state": "relaxed",
  "ef_mev_per_atom": 18,
  "total_magnetization_mub_per_atom": 0.000,
  "space_group": "C2/m",
  "dos_ef_per_ev_fu": 12.9,
  "cell": [[7.619, -2.534, 0.000], [7.619, 2.534, 0.000], [-2.536, 0.000, 7.607]],
  "species": ["Tb", "Pm", "Pm", "Pm", "Pm", "Dy", "Dy", "Ho", "Ho"],
  "frac_coords": [[0.000, 0.000, 0.000], [0.223, 0.223, 0.332], [0.446, 0.446, 0.669], [0.554, 0.554, 0.331], [0.777, 0.777, 0.668], [0.111, 0.111, 0.669], [0.889, 0.889, 0.331], [0.333, 0.333, 0.000], [0.667, 0.667, 0.000]]
}

[25]
{
  "formula": "CoPbBr2",
  "functional": "GGA-PBE",
  "state": "relaxed",
  "e_form_raw_ev_per_atom": -0.18,
  "total_magnetization_mub_per_atom": 0.304,
  "polymorph_energy_kj_per_mol_fu": 0.0,
  "space_group": "Pm",
  "dos_ef_per_ev_fu": 3.0,
  "cell": [[4.343, 0.000, 0.000], [0.000, 3.661, 0.000], [-2.119, 0.000, 7.225]],
  "species": ["Co", "Pb", "Br", "Br"],
  "frac_coords": [[0.000, 0.000, 0.000], [0.464, 0.500, 0.925], [0.114, 0.500, 0.234], [0.841, 0.000, 0.671]]
}